[1]
! ErNpTc4 (PBE, relaxed); values from VASP
! Formation enthalpy at 0 K = 44 meV/atom
! Magnetization = 4.45 μB/f.u.
&SYSTEM
  ibrav = 0, nat = 6, ntyp = 3
/
ATOMIC_SPECIES
Er 167.26 Er.upf
Np 237.00 Np.upf
Tc 98.00 Tc.upf
CELL_PARAMETERS angstrom
0.0000 3.7991 3.7991
3.7991 0.0000 3.7991
3.7991 3.7991 0.0000
ATOMIC_POSITIONS angstrom
Er 0.0000 0.0000 0.0000
Np 1.8995 1.8995 1.8995
Tc 4.7504 2.8478 2.8478
Tc 2.8478 4.7504 2.8478
Tc 2.8478 2.8478 4.7504
Tc 4.7504 4.7504 4.7504

=====

[2]
! CdGePt3 (PBE, relaxed); values from VASP
! Formation enthalpy at 0 K = 1250 meV/atom
! Magnetization = 0.00 μB/f.u.
&SYSTEM
  ibrav = 0, nat = 5, ntyp = 3
/
ATOMIC_SPECIES
Cd 112.41 Cd.upf
Ge 72.64 Ge.upf
Pt 195.08 Pt.upf
CELL_PARAMETERS angstrom
4.9530 0.0000 0.0000
0.0000 4.9530 0.0000
0.0000 0.0000 4.9530
ATOMIC_POSITIONS angstrom
Cd 0.0000 0.0000 0.0000
Ge 2.4765 2.4765 2.4765
Pt 0.0000 0.0000 2.4765
Pt 0.0000 2.4765 0.0000
Pt 2.4765 0.0000 0.0000

=====

[3]
! Bi3HRu (PBE, relaxed); values from VASP
! Magnetization = 0.00 μB/f.u.
! E = -4.126 eV per atom
&SYSTEM
  ibrav = 0, nat = 5, ntyp = 3
/
ATOMIC_SPECIES
Bi 208.98 Bi.upf
H 1.01 H.upf
Ru 101.07 Ru.upf
CELL_PARAMETERS angstrom
4.7387 0.0000 0.0000
0.0000 4.7387 0.0000
0.0000 0.0000 4.7387
ATOMIC_POSITIONS angstrom
Bi 0.0000 0.0000 2.3693
Bi 0.0000 2.3693 0.0000
Bi 2.3693 0.0000 0.0000
H 0.0000 0.0000 0.0000
Ru 2.3693 2.3693 2.3693

=====

[4]
! Ce2ErCu2Si2 (PBE, relaxed); values from VASP
! Magnetization = 1.28 μB/f.u.
! Formation energy (no corrections) = -501 meV/atom
&SYSTEM
  ibrav = 0, nat = 7, ntyp = 4
/
ATOMIC_SPECIES
Ce 140.12 Ce.upf
Er 167.26 Er.upf
Cu 63.55 Cu.upf
Si 28.09 Si.upf
CELL_PARAMETERS angstrom
2.0741 1.1975 9.0019
-2.0741 1.1975 9.0019
0.0000 -2.3949 9.0019
ATOMIC_POSITIONS angstrom
Ce 0.0000 0.0000 3.7595
Ce 0.0000 0.0000 23.2462
Er 0.0000 0.0000 0.0000
Cu 0.0000 0.0000 10.8429
Cu 0.0000 0.0000 16.1629
Si 0.0000 0.0000 7.1392
Si 0.0000 0.0000 19.8665

=====

[5]
! La4Tb3NdS8 (PBE, relaxed); values from VASP
! Magnetization = 0.00 μB/f.u.
! Formation energy (no corrections) = -2091 meV/atom
&SYSTEM
  ibrav = 0, nat = 16, ntyp = 4
/
ATOMIC_SPECIES
La 138.91 La.upf
Tb 158.93 Tb.upf
Nd 144.24 Nd.upf
S 32.06 S.upf
CELL_PARAMETERS angstrom
4.0480 2.3371 6.6701
-4.0480 2.3371 6.6701
0.0000 -4.6742 6.6701
ATOMIC_POSITIONS angstrom
La 0.0000 0.0000 0.0000
La -2.0240 -1.1686 6.6701
La -2.0240 1.1686 13.3402
La 0.0000 2.3371 6.6701
Tb -4.0480 0.0000 10.0051
Tb -2.0240 1.1686 3.3350
Tb 2.0240 1.1686 3.3350
Nd 0.0000 0.0000 10.0051
S -2.0628 -1.1910 11.5768
S 0.0000 0.0000 4.8783
S 0.0000 -2.3819 8.4335
S -2.0628 1.1910 8.4335
S 2.0628 -1.1910 11.5768
S 0.0000 2.3819 11.5768
S 0.0000 0.0000 15.1319
S 2.0628 1.1910 8.4335

=====

[6]
! MgSc2Mn2 (PBE, relaxed); values from VASP
! Formation enthalpy at 0 K = 143 meV/atom
! Magnetization = 0.72 μB/f.u.
&SYSTEM
  ibrav = 0, nat = 10, ntyp = 3
/
ATOMIC_SPECIES
Mg 24.30 Mg.upf
Sc 44.96 Sc.upf
Mn 54.94 Mn.upf
CELL_PARAMETERS angstrom
7.4120 0.0000 0.0000
0.0000 7.4120 0.0000
0.0000 0.0000 3.2409
ATOMIC_POSITIONS angstrom
Mg 0.0000 0.0000 0.0000
Mg 3.7060 3.7060 0.0000
Sc 1.4115 2.2945 1.6204
Sc 2.2945 6.0005 1.6204
Sc 5.1174 1.4115 1.6204
Sc 6.0005 5.1174 1.6204
Mn 0.7097 4.4157 0.0000
Mn 2.9962 0.7097 0.0000
Mn 4.4157 6.7022 0.0000
Mn 6.7022 2.9962 0.0000

=====

[7]
! La6Pr3Sm2Mg (PBE, relaxed); values from VASP
! Formation enthalpy at 0 K = 16 meV/atom
! Magnetization = 0.00 μB/f.u.
&SYSTEM
  ibrav = 0, nat = 12, ntyp = 4
/
ATOMIC_SPECIES
La 138.91 La.upf
Pr 140.91 Pr.upf
Sm 150.36 Sm.upf
Mg 24.30 Mg.upf
CELL_PARAMETERS angstrom
3.1861 -5.5366 0.0000
3.1861 5.5366 0.0000
-2.1641 0.0000 11.9394
ATOMIC_POSITIONS angstrom
La 1.0321 1.8251 2.9254
La -0.0482 0.0000 8.9974
La 1.0321 -1.8251 2.9254
La 3.1760 1.8251 9.0141
La 4.2564 0.0000 2.9420
La 3.1760 -1.8251 9.0141
Pr 2.1041 3.6770 5.9697
Pr 2.1041 0.0000 5.9697
Pr 2.1041 -3.6770 5.9697
Sm 3.1861 1.8461 0.0000
Sm 3.1861 -1.8461 0.0000
Mg 0.0000 0.0000 0.0000

=====

[8]
! WSCl4 (PBE, relaxed); values from VASP
! Magnetization = 0.00 μB/f.u.
! Formation energy (no corrections) = -801 meV/atom
&SYSTEM
  ibrav = 0, nat = 48, ntyp = 3
/
ATOMIC_SPECIES
W 183.84 W.upf
S 32.06 S.upf
Cl 35.45 Cl.upf
CELL_PARAMETERS angstrom
9.6746 0.0000 0.0000
0.0000 13.8663 0.0000
-5.0967 0.0000 12.4916
ATOMIC_POSITIONS angstrom
W -1.6848 2.0695 5.1166
W -4.2331 4.8637 11.3624
W 0.2662 8.0460 8.1821
W 2.8146 12.7535 1.9363
W 1.7634 1.1128 10.5552
W 4.3117 5.8203 4.3094
W 8.8110 9.0027 1.1292
W 6.2627 11.7968 7.3750
S -1.2848 3.1949 3.3925
S -3.8331 3.7383 9.6383
S 3.7189 0.6406 2.6648
S 1.1705 6.2926 8.9106
S 3.4074 7.5737 3.5810
S 0.8590 13.2258 9.8268
S 8.4111 10.1280 2.8533
S 5.8627 10.6715 9.0991
Cl -0.0216 7.0077 1.9606
Cl -2.5699 13.7918 8.2064
Cl -1.9536 7.4725 7.9702
Cl 0.5948 13.3270 1.7244
Cl 1.3402 9.5204 0.6334
Cl -1.2082 11.2791 6.8792
Cl 1.4376 3.4638 0.5987
Cl -1.1108 3.4694 6.8444
Cl 0.2643 0.9293 5.5196
Cl -2.2841 6.0038 11.7654
Cl 0.3821 7.8247 5.8890
Cl -2.1662 12.9748 12.1348
Cl -0.3439 9.1899 10.0835
Cl 2.2044 11.6096 3.8377
Cl 0.0116 2.5952 10.7449
Cl 2.5599 4.3380 4.4991
Cl 2.0180 9.5283 7.9925
Cl 4.5664 11.2711 1.7467
Cl 2.3735 2.2568 8.6539
Cl 4.9219 4.6764 2.4081
Cl 6.7442 0.8916 0.3568
Cl 4.1958 6.0416 6.6026
Cl 6.8620 7.8625 0.7261
Cl 4.3136 12.9370 6.9719
Cl 5.6887 10.3970 5.6471
Cl 3.1404 10.4025 11.8929
Cl 5.7861 2.5872 5.6124
Cl 3.2378 4.3459 11.8582
Cl 3.9832 0.5393 10.7672
Cl 6.5315 6.3939 4.5214
Cl 7.1478 0.0745 4.2852
Cl 4.5995 6.8587 10.5310

=====

[9]
! Sn7Pd3 (PBE, relaxed); values from VASP
! Formation enthalpy at 0 K = -285 meV/atom
! Magnetization = 0.00 μB/f.u.
&SYSTEM
  ibrav = 0, nat = 20, ntyp = 2
/
ATOMIC_SPECIES
Sn 118.71 Sn.upf
Pd 106.42 Pd.upf
CELL_PARAMETERS angstrom
-4.8718 4.8718 4.8718
4.8718 -4.8718 4.8718
4.8718 4.8718 -4.8718
ATOMIC_POSITIONS angstrom
Sn 1.5989 1.5989 -1.5989
Sn 3.2729 3.2729 -3.2729
Sn 1.5989 -1.5989 1.5989
Sn 3.2729 -3.2729 3.2729
Sn 4.8718 2.4359 0.0000
Sn 4.8718 0.0000 2.4359
Sn -1.5989 1.5989 1.5989
Sn 1.5989 1.5989 1.5989
Sn 2.4359 4.8718 0.0000
Sn 2.4359 0.0000 4.8718
Sn -3.2729 3.2729 3.2729
Sn 3.2729 3.2729 3.2729
Sn 0.0000 4.8718 2.4359
Sn 0.0000 2.4359 4.8718
Pd 3.2921 0.0000 0.0000
Pd 6.4514 0.0000 0.0000
Pd 0.0000 3.2921 0.0000
Pd 0.0000 0.0000 3.2921
Pd 0.0000 6.4514 0.0000
Pd 0.0000 0.0000 6.4514

=====

[10]
! Tl6CdI8 (PBE, relaxed); values from VASP
! Magnetization = 0.00 μB/f.u.
! Formation energy (no corrections) = -620 meV/atom
&SYSTEM
  ibrav = 0, nat = 15, ntyp = 3
/
ATOMIC_SPECIES
Tl 204.38 Tl.upf
Cd 112.41 Cd.upf
I 126.90 I.upf
CELL_PARAMETERS angstrom
5.2371 3.0237 6.7722
-5.2371 3.0237 6.7722
0.0000 -6.0473 6.7722
ATOMIC_POSITIONS angstrom
Tl -4.0278 -0.1851 8.6516
Tl -1.8536 -3.5807 11.6649
Tl 2.1742 -3.3956 8.6516
Tl -2.1742 3.3956 11.6649
Tl 1.8536 3.5807 8.6516
Tl 4.0278 0.1851 11.6649
Cd 0.0000 0.0000 10.1582
I 0.0000 0.0000 3.3018
I -1.1987 -2.2009 8.4219
I -2.5054 -0.0623 11.8945
I -1.3066 2.1386 8.4219
I 1.3066 -2.1386 11.8945
I 2.5054 0.0623 8.4219
I 1.1987 2.2009 11.8945
I 0.0000 0.0000 17.0147

=====

[11]
! Rb2RhF6 (PBE, relaxed); values from VASP
! Magnetization = 1.01 μB/f.u.
! Formation energy (no corrections) = -2215 meV/atom
&SYSTEM
  ibrav = 0, nat = 9, ntyp = 3
/
ATOMIC_SPECIES
Rb 85.47 Rb.upf
Rh 102.91 Rh.upf
F 19.00 F.upf
CELL_PARAMETERS angstrom
6.0339 0.0000 0.0000
-3.0169 5.2255 0.0000
0.0000 0.0000 4.9286
ATOMIC_POSITIONS angstrom
Rb 0.0000 3.4837 1.4243
Rb 3.0170 1.7418 3.5043
Rh 0.0000 0.0000 0.0000
F 0.0000 1.6308 3.8472
F -1.6047 4.4101 3.8472
F 1.4123 0.8154 1.0814
F 1.6047 4.4101 3.8472
F 4.6216 0.8154 1.0814
F 3.0170 3.5947 1.0814

=====

[12]
! ThZnCd (PBE, relaxed); values from VASP
! Formation enthalpy at 0 K = -185 meV/atom
! Magnetization = 0.00 μB/f.u.
&SYSTEM
  ibrav = 0, nat = 3, ntyp = 3
/
ATOMIC_SPECIES
Th 232.04 Th.upf
Zn 65.41 Zn.upf
Cd 112.41 Cd.upf
CELL_PARAMETERS angstrom
4.8888 0.0000 0.0000
-2.4444 4.2338 0.0000
0.0000 0.0000 3.4359
ATOMIC_POSITIONS angstrom
Th 0.0000 0.0000 0.0000
Zn 2.4444 1.4113 1.7179
Cd 0.0000 2.8225 1.7179

=====

[13]
! NdZn3Ir (PBE, relaxed); values from VASP
! Formation enthalpy at 0 K = -288 meV/atom
! Magnetization = 0.00 μB/f.u.
&SYSTEM
  ibrav = 0, nat = 10, ntyp = 3
/
ATOMIC_SPECIES
Nd 144.24 Nd.upf
Zn 65.41 Zn.upf
Ir 192.22 Ir.upf
CELL_PARAMETERS angstrom
-2.5208 4.1599 4.6060
2.5208 -4.1599 4.6060
2.5208 4.1599 -4.6060
ATOMIC_POSITIONS angstrom
Nd 0.0000 2.0799 0.1807
Nd 2.5208 2.0799 4.4253
Zn 2.5208 2.0799 -1.5599
Zn 1.2604 4.2305 -2.3030
Zn 1.2604 0.0707 2.3030
Zn -1.2604 4.0892 2.3030
Zn 1.2604 4.0892 2.3030
Zn 0.0000 2.0799 6.1658
Ir 2.5208 0.0000 0.0000
Ir 0.0000 0.0000 4.6060

=====

[14]
! MgPO2F (PBE, relaxed); values from VASP
! Magnetization = 0.00 μB/f.u.
! Formation energy (no corrections) = -1219 meV/atom
&SYSTEM
  ibrav = 0, nat = 5, ntyp = 4
/
ATOMIC_SPECIES
Mg 24.30 Mg.upf
P 30.97 P.upf
O 16.00 O.upf
F 19.00 F.upf
CELL_PARAMETERS angstrom
3.7504 0.0000 0.0000
0.0000 3.7504 0.0000
0.0000 0.0000 4.1702
ATOMIC_POSITIONS angstrom
Mg 0.0000 0.0000 0.0000
P 1.8752 1.8752 2.0851
O 0.0000 1.8752 2.0851
O 1.8752 0.0000 2.0851
F 1.8752 1.8752 0.0000

=====

[15]
! PrEr2Sb (PBE, relaxed); values from VASP
! Magnetization = 0.00 μB/f.u.
! Formation energy (no corrections) = -461 meV/atom
&SYSTEM
  ibrav = 0, nat = 4, ntyp = 3
/
ATOMIC_SPECIES
Pr 140.91 Pr.upf
Er 167.26 Er.upf
Sb 121.76 Sb.upf
CELL_PARAMETERS angstrom
3.9605 0.0000 0.0000
0.0000 3.9605 0.0000
0.0000 0.0000 7.4735
ATOMIC_POSITIONS angstrom
Pr 0.0000 0.0000 0.0000
Er 1.9803 1.9803 2.1264
Er 1.9803 1.9803 5.3471
Sb 0.0000 0.0000 3.7367

=====

[16]
! Na3ScPd3O8 (PBE, relaxed); values from VASP
! Magnetization = 0.00 μB/f.u.
! Formation energy (no corrections) = -1242 meV/atom
&SYSTEM
  ibrav = 0, nat = 15, ntyp = 4
/
ATOMIC_SPECIES
Na 22.99 Na.upf
Sc 44.96 Sc.upf
Pd 106.42 Pd.upf
O 16.00 O.upf
CELL_PARAMETERS angstrom
5.7119 -3.0381 0.0000
5.7119 3.0381 0.0000
-3.0953 0.0000 5.5733
ATOMIC_POSITIONS angstrom
Na 0.0000 0.0000 0.0000
Na 2.8560 1.5191 0.0000
Na 2.8560 -1.5191 0.0000
Sc -1.5476 0.0000 2.7867
Pd 1.3083 1.5191 2.7867
Pd 1.3083 -1.5191 2.7867
Pd 4.1643 0.0000 2.7867
O 3.1565 1.4690 3.7746
O 0.3634 0.0000 3.8648
O 1.7509 0.0000 1.4768
O 5.1720 1.4690 1.7987
O 3.1565 -1.4690 3.7746
O 6.5777 0.0000 4.0965
O 7.9652 0.0000 1.7085
O 5.1720 -1.4690 1.7987

=====

[17]
! Sm3Pa3IrN8 (PBE, relaxed); values from VASP
! Magnetization = 0.00 μB/f.u.
! Formation energy (no corrections) = -1183 meV/atom
&SYSTEM
  ibrav = 0, nat = 15, ntyp = 4
/
ATOMIC_SPECIES
Sm 150.36 Sm.upf
Pa 231.04 Pa.upf
Ir 192.22 Ir.upf
N 14.01 N.upf
CELL_PARAMETERS angstrom
3.4395 1.9858 5.7053
-3.4395 1.9858 5.7053
0.0000 -3.9716 5.7053
ATOMIC_POSITIONS angstrom
Sm -1.7198 -0.9929 5.7053
Sm -1.7197 0.9929 11.4107
Sm 0.0000 1.9858 5.7053
Pa -3.4395 0.0000 8.5580
Pa -1.7197 0.9929 2.8527
Pa 1.7198 0.9929 2.8527
Ir 0.0000 0.0000 8.5580
N 0.0000 0.0000 4.1609
N -1.6719 -0.9653 9.7576
N 0.0000 -1.9305 7.3584
N -1.6719 0.9653 7.3584
N 1.6719 -0.9653 9.7576
N 0.0000 1.9305 9.7576
N 1.6719 0.9653 7.3584
N 0.0000 0.0000 12.9551

=====

[18]
! Sm4TeRu (PBE, relaxed); values from VASP
! Magnetization = 0.00 μB/f.u.
! Formation energy (no corrections) = -479 meV/atom
&SYSTEM
  ibrav = 0, nat = 12, ntyp = 3
/
ATOMIC_SPECIES
Sm 150.36 Sm.upf
Te 127.60 Te.upf
Ru 101.07 Ru.upf
CELL_PARAMETERS angstrom
4.6281 -7.2954 0.0000
4.6281 7.2954 0.0000
-3.8758 0.0000 5.7296
ATOMIC_POSITIONS angstrom
Sm -0.0661 4.2177 5.0068
Sm -0.7988 0.6358 4.1625
Sm 1.1391 -0.6358 1.2977
Sm 3.5086 4.2177 3.5876
Sm 1.8718 -4.2177 2.1420
Sm 4.2413 0.6358 4.4319
Sm 6.1792 -0.6358 1.5671
Sm 5.4464 -4.2177 0.7228
Te 3.6591 1.6555 1.4324
Te 1.7213 -1.6555 4.2972
Ru 1.7213 6.1025 4.2972
Ru 3.6591 -6.1025 1.4324

=====

[19]
! AlCu2W (PBE, relaxed); values from VASP
! Formation enthalpy at 0 K = 198 meV/atom
! Magnetization = 0.00 μB/f.u.
&SYSTEM
  ibrav = 0, nat = 4, ntyp = 3
/
ATOMIC_SPECIES
Al 26.98 Al.upf
Cu 63.55 Cu.upf
W 183.84 W.upf
CELL_PARAMETERS angstrom
-1.3539 2.2758 4.5382
1.3539 -2.2758 4.5382
1.3539 2.2758 -4.5382
ATOMIC_POSITIONS angstrom
Al 0.0000 0.0000 0.0000
Cu 1.3539 0.0000 2.1811
Cu 0.0000 2.2758 2.3571
W 0.0000 0.0000 4.5382

=====

[20]
! Mo2WCS (PBE, relaxed); values from VASP
! Magnetization = 0.00 μB/f.u.
! Formation energy (no corrections) = 2702 meV/atom
&SYSTEM
  ibrav = 0, nat = 5, ntyp = 4
/
ATOMIC_SPECIES
Mo 95.94 Mo.upf
W 183.84 W.upf
C 12.01 C.upf
S 32.06 S.upf
CELL_PARAMETERS angstrom
4.8550 0.0000 0.0000
0.0000 4.8550 0.0000
0.0000 0.0000 4.3904
ATOMIC_POSITIONS angstrom
Mo 0.0000 2.4275 0.0000
Mo 2.4275 0.0000 0.0000
W 0.0000 0.0000 0.0000
C 2.4275 2.4275 2.1952
S 0.0000 0.0000 2.1952